(1)
Entry from Alexandria via LeMat-Bulk: Pm4H2Pb3 after structural relaxation (PBE).

Structure (POSCAR):
```
Pm4H2Pb3
1.0
6.973 -4.934 0.000
6.973 4.934 0.000
-1.606 0.000 6.574
Pm H Pb
8 4 6
direct
0.114 0.664 0.966 Pm
0.231 0.381 0.407 Pm
0.336 0.886 0.534 Pm
0.381 0.231 0.907 Pm
0.619 0.769 0.093 Pm
0.664 0.114 0.466 Pm
0.769 0.619 0.593 Pm
0.886 0.336 0.034 Pm
0.141 0.409 0.065 H
0.409 0.141 0.565 H
0.591 0.859 0.435 H
0.859 0.591 0.935 H
0.004 0.224 0.569 Pb
0.224 0.004 0.069 Pb
0.489 0.511 0.750 Pb
0.511 0.489 0.250 Pb
0.776 0.996 0.931 Pb
0.996 0.776 0.431 Pb
```

Computed properties:
Its total energy is -4.623 eV/atom. As for the space group: No. 15.

---

(2)
Entry from Alexandria via LeMat-Bulk: Sr2NbCu after structural relaxation (PBE).

Structure (POSCAR):
```
Sr2NbCu
1.0
-4.377 4.377 3.185
4.377 -4.377 3.185
4.377 4.377 -3.185
Sr Nb Cu
4 2 2
direct
0.073 0.625 0.948 Sr
0.375 0.323 0.448 Sr
0.677 0.125 0.052 Sr
0.875 0.927 0.552 Sr
0.250 0.750 0.500 Nb
0.500 0.500 0.000 Nb
0.000 0.000 0.000 Cu
0.750 0.250 0.500 Cu
```

Computed properties:
Its total energy is -3.467 eV/atom. As for the space group: No. 122. For the energy above the most stable polymorph in this dataset, the calculation gives 124 meV/atom. The energy relative to the elements is 0.9152 eV/atom.